No. 1
Material: Er2TiBe4Pt3
Method: DFT, PBE
State: relaxed

## Properties
Its formation energy is -68.9 kJ per mole of atoms.

Cell: 3.860 3.860 10.364 Å, 90.00 90.00 90.00°
Space group P-4m2 (No. 115)
Inequivalent atoms, fractional coordinates:
Er1 0.000 0.500 0.242 x2
Ti1 0.000 0.000 0.500 x1
Be1 0.000 0.000 0.000 x1
Be2 0.000 0.500 0.652 x2
Be3 0.500 0.500 0.000 x1
Pt1 0.000 0.500 0.876 x2
Pt2 0.500 0.500 0.500 x1


No. 2
Material: CsK2LiGa
Method: DFT, PBE
State: relaxed

## Properties
Its formation energy is 10.9 kJ per mole of atoms.

Cell: 6.785 6.785 5.594 Å, 90.00 90.00 90.00°
Space group P4/mmm (No. 123)
Inequivalent atoms, fractional coordinates:
Cs1 0.000 0.000 0.000 x1
K1 0.000 0.500 0.500 x2
Li1 0.500 0.500 0.000 x1
Ga1 0.500 0.500 0.500 x1


No. 3
Material: PaClO2
Method: DFT, PBE
State: relaxed

## Properties
The calculation puts the formation energy without anion corrections at -2.874 eV/atom. Its excess energy over the best structure of this formula in the dataset is 104 meV/atom.

Cell: 3.7450 3.7450 15.8535 Å, 90.00 90.00 120.00°
Space group R-3m (No. 166, hexagonal axes)
Inequivalent atoms, fractional coordinates:
Pa1 0.0000 0.0000 0.0000 x3
Cl1 0.0000 0.0000 0.5000 x3
O1 0.0000 0.0000 0.2960 x6


No. 4
Material: La5CePrDy2
Method: DFT, PBE
State: relaxed

## Properties
Its formation energy is 26.4 kJ per mole of atoms.

Cell: 8.307 8.307 9.348 Å, 90.00 90.00 90.00°
Space group P4/mbm (No. 127)
Inequivalent atoms, fractional coordinates:
La1 0.000 0.000 0.000 x2
La2 0.190 0.310 0.272 x8
Ce1 0.000 0.500 0.500 x2
Pr1 0.000 0.000 0.500 x2
Dy1 0.129 0.629 0.000 x4


No. 5
Material: YLuSe3
Method: DFT, PBE
State: relaxed

## Properties
The calculation puts the formation energy without anion corrections at -1.131 eV/atom. Its excess energy over the best structure of this formula in the dataset is 750 meV/atom.

Cell: 5.340 5.340 20.669 Å, 90.00 90.00 90.00°
Space group I-4m2 (No. 119)
Inequivalent atoms, fractional coordinates:
Y1 0.000 0.000 0.000 x2
Y2 0.000 0.500 0.250 x2
Lu1 0.000 0.500 0.649 x4
Se1 0.000 0.000 0.292 x4
Se2 0.000 0.253 0.118 x8


No. 6
Material: LiMgSe
Method: DFT, PBE
State: relaxed

## Properties
The calculation puts the formation energy without anion corrections at -0.575 eV/atom. Its excess energy over the best structure of this formula in the dataset is 255 meV/atom.

Cell: 3.535 3.535 9.725 Å, 90.00 90.00 90.00°
Space group I4mm (No. 107)
Inequivalent atoms, fractional coordinates:
Li1 0.000 0.000 0.000 x2
Mg1 0.000 0.000 0.289 x2
Se1 0.000 0.000 0.649 x2


No. 7
Material: NaHoTmTl
Method: DFT, PBE
State: relaxed

## Properties
Its formation energy is -2.0 kJ per mole of atoms.

Cell: 7.579 7.579 7.579 Å, 90.00 90.00 90.00°
Space group F-43m (No. 216)
Inequivalent atoms, fractional coordinates:
Na1 0.000 0.000 0.000 x4
Ho1 0.250 0.250 0.250 x4
Tm1 0.250 0.250 0.750 x4
Tl1 0.000 0.000 0.500 x4


No. 8
Material: MgNi3H
Method: DFT, PBE
State: relaxed

## Properties
Its excess energy over the best structure of this formula in the dataset is 65 meV/atom.

Cell: 15.605 3.644 3.669 Å, 90.00 103.54 90.00°
Space group C2/m (No. 12)
Inequivalent atoms, fractional coordinates:
Mg1 0.071 0.000 0.320 x4
Ni1 0.064 0.500 0.814 x4
Ni2 0.192 0.500 0.442 x4
Ni3 0.193 0.000 0.943 x4
H1 0.179 0.500 0.930 x4


No. 9
Material: MgMo2Br
Method: DFT, PBE
State: relaxed

## Properties
The calculation puts the formation energy without anion corrections at 0.854 eV/atom. Its excess energy over the best structure of this formula in the dataset is 726 meV/atom.

Cell: 5.278 9.153 2.939 Å, 90.00 90.00 90.00°
Space group Cmmm (No. 65)
Inequivalent atoms, fractional coordinates:
Mg1 0.000 0.000 0.000 x2
Mo1 0.250 0.250 0.500 x4
Br1 0.000 0.500 0.000 x2


No. 10
Material: RbBPCl2
Method: DFT, PBE
State: relaxed

## Properties
The calculation puts the formation energy without anion corrections at -0.146 eV/atom. Its excess energy over the best structure of this formula in the dataset is 0 meV/atom.

Cell: 5.712 5.712 3.566 Å, 90.00 90.00 90.00°
Space group P4/mmm (No. 123)
Inequivalent atoms, fractional coordinates:
Rb1 0.000 0.000 0.000 x1
B1 0.500 0.500 0.500 x1
P1 0.500 0.500 0.000 x1
Cl1 0.000 0.500 0.500 x2